Compound: RbPuPb2Br8
Source: the Alexandria database
Functional: PBE-GGA
Structure: optimized geometry

Unit cell a=7.260 b=7.025 c=9.358 alpha=89.96 beta=89.98 gamma=89.05
Each line ends with the local moment (μB).
Fractional coordinates of all 12 atoms:
Rb: 0.000 0.000 0.500  0.00
Pu: 0.000 0.000 0.000  5.06
Pb: 0.500 0.500 0.749  0.00
Pb: 0.500 0.500 0.251  0.00
Br: 0.154 0.752 0.215  -0.03
Br: 0.676 0.756 0.000  -0.02
Br: 0.846 0.248 0.214  -0.03
Br: 0.846 0.248 0.785  -0.03
Br: 0.324 0.244 0.000  -0.02
Br: 0.154 0.752 0.786  -0.03
Br: 0.620 0.732 0.500  0.00
Br: 0.380 0.268 0.500  0.00

Raw total energy: -50.9 eV/cell
Space group: P-1, No. 2
Magnetization: 5.0 Bohr magnetons per cell
Formation energy from raw total energies: -1430 kJ/mol of formula units
N(E_F): 9.47 states/eV/f.u.
Crystal system: triclinic

Compound: Ca7Tl3N2
Source: the Alexandria database
Functional: PBE-GGA
Structure: optimized geometry

Unit cell a=4.869 b=4.981 c=12.687 alpha=101.28 beta=90.00 gamma=90.00
Fractional coordinates of all 12 atoms:
Tl: 0.500 0.500 0.000
Tl: 0.500 0.706 0.411
Tl: 0.500 0.294 0.589
Ca: 0.000 0.400 0.800
Ca: 0.000 0.804 0.608
Ca: 0.000 0.000 0.000
Ca: 0.000 0.600 0.200
Ca: 0.500 0.098 0.196
Ca: 0.500 0.902 0.804
Ca: 0.000 0.196 0.392
N: 0.000 0.898 0.795
N: 0.000 0.102 0.205

Raw total energy: -45.3 eV/cell
Space group: P2/m, No. 10
Magnetization: 0.0 Bohr magnetons per cell
Formation energy from raw total energies: -731 kJ/mol of formula units
N(E_F): 6.68 states/eV/f.u.
Crystal system: monoclinic

Compound: Hg2TeS6
Source: the Alexandria database
Functional: PBE-GGA
Structure: optimized geometry

Unit cell a=11.704 b=8.889 c=6.269 alpha=90.00 beta=131.47 gamma=90.00
Fractional coordinates of all 18 atoms:
Hg: 0.896 0.402 0.789
Hg: 0.604 0.902 0.711
Hg: 0.396 0.098 0.289
Hg: 0.104 0.598 0.211
Te: 0.500 0.500 0.000
Te: 0.000 0.000 0.500
S: 0.829 0.755 0.178
S: 0.773 0.735 0.435
S: 0.943 0.862 0.803
S: 0.557 0.362 0.697
S: 0.727 0.235 0.065
S: 0.671 0.255 0.322
S: 0.171 0.245 0.822
S: 0.227 0.265 0.565
S: 0.057 0.138 0.197
S: 0.443 0.638 0.303
S: 0.273 0.765 0.935
S: 0.329 0.745 0.678

Raw total energy: -54.1 eV/cell
Space group: P2_1/c, No. 14
Magnetization: 0.0 Bohr magnetons per cell
Formation energy from raw total energies: 139 kJ/mol of formula units
N(E_F): 0.84 states/eV/f.u.
Crystal system: monoclinic

Compound: Zr5Fe4
Source: the Alexandria database
Functional: PBE-GGA
Structure: optimized geometry

Unit cell a=7.071 b=7.071 c=7.071 alpha=93.27 beta=93.27 gamma=152.38
Each line ends with the local moment (μB).
Fractional coordinates of all 9 atoms:
Zr: 0.000 0.000 0.000  0.01
Zr: 0.330 0.330 0.659  -0.30
Zr: 0.330 0.670 0.000  -0.30
Zr: 0.670 0.330 0.000  -0.30
Zr: 0.670 0.670 0.341  -0.30
Fe: 0.000 0.360 0.360  2.44
Fe: 0.000 0.640 0.640  2.44
Fe: 0.360 0.000 0.360  2.44
Fe: 0.640 0.000 0.640  2.44

Raw total energy: -74.5 eV/cell
Space group: I4/mmm, No. 139
Magnetization: 8.1 Bohr magnetons per cell
N(E_F): 12.87 states/eV/f.u.
DFT formation energy: 22.1 kJ per mole of atoms
Crystal system: tetragonal

Compound: GaSi3As
Source: the Alexandria database
Functional: PBE-GGA
Structure: optimized geometry

Unit cell a=4.743 b=4.743 c=4.743 alpha=90.00 beta=90.00 gamma=90.00
Fractional coordinates of all 5 atoms:
As: 0.500 0.500 0.500
Si: 0.000 0.500 0.000
Si: 0.000 0.000 0.500
Si: 0.500 0.000 0.000
Ga: 0.000 0.000 0.000

Raw total energy: -19.0 eV/cell
Space group: Pm-3m, No. 221
Magnetization: 0.0 Bohr magnetons per cell
Formation energy from raw total energies: 481 kJ/mol of formula units
N(E_F): 2.26 states/eV/f.u.
Crystal system: cubic

Compound: NdDy6Ni2
Source: the Alexandria database
Functional: PBE-GGA
Structure: optimized geometry

Unit cell a=8.572 b=8.572 c=8.572 alpha=106.61 beta=106.45 gamma=115.53
Fractional coordinates of all 18 atoms:
Nd: 0.000 0.500 0.500
Nd: 0.000 0.000 0.000
Dy: 0.496 0.305 0.192
Dy: 0.504 0.695 0.808
Dy: 0.887 0.695 0.192
Dy: 0.113 0.305 0.808
Dy: 0.221 0.778 0.998
Dy: 0.779 0.222 0.002
Dy: 0.779 0.778 0.557
Dy: 0.221 0.222 0.443
Dy: 0.305 0.994 0.688
Dy: 0.695 0.006 0.312
Dy: 0.695 0.383 0.688
Dy: 0.305 0.617 0.312
Ni: 0.500 0.381 0.881
Ni: 0.500 0.619 0.119
Ni: 0.371 0.000 0.371
Ni: 0.629 0.000 0.629

Raw total energy: -90.1 eV/cell
Space group: Immm, No. 71
Magnetization: 0.0 Bohr magnetons per cell
N(E_F): 11.89 states/eV/f.u.
DFT formation energy: -12.1 kJ per mole of atoms
Crystal system: orthorhombic